## HoBeNi4 (PBE)

Data for an optimized crystal structure of HoBeNi4.

E_form   -236 meV/atom
Symmetry   F-43m (216)

a b c (Å): 4.8157 4.8157 4.8157
angles (deg): 60.00 60.00 60.00
Last column: nearest neighbours and their distance in Å.
Fractional positions:
Be1 0.0000 0.0000 0.0000  12 Ni 2.82, 4 Ho 2.95
Ni1 0.6264 0.6264 0.1208  6 Ni 2.38-2.43
Ho1 0.2500 0.2500 0.2500  12 Ni 2.83, 4 Be 2.95
Ni2 0.1208 0.6264 0.6264  6 Ni 2.38-2.43
Ni3 0.6264 0.6264 0.6264  6 Ni 2.38-2.43
Ni4 0.6264 0.1208 0.6264  6 Ni 2.38-2.43